1.
LaNdTlNi2 | GGA-PBE | relaxed

The crystal system is orthorhombic. The value obtained for the total energy is -5.051 eV/atom.

The structure belongs to space group Amm2 (No. 38); the cell edges are 3.821, 4.024 and 14.828 Å and the angles 90.00°, 90.00° and 90.00°. Symmetry generates all atoms from La at (0.000, 0.000, 0.000), Nd at (0.000, 0.000, 0.723), Tl at (0.500, 0.000, 0.359), Ni at (0.500, 0.000, 0.159) and Ni at (0.500, 0.000, 0.563).


2.
Pr2P | GGA-PBE | relaxed

The crystal system is cubic. The value obtained for the total energy is -4.702 eV/atom.

The structure belongs to space group Fd-3m (No. 227, origin choice 2); the cell edges are 8.766, 8.766 and 8.766 Å and the angles 90.00°, 90.00° and 90.00°. Symmetry generates all atoms from Pr at (0.000, 0.000, 0.000) and P at (0.125, 0.125, 0.625).